SmTmTe2: optimized geometry, GGA-PBE.

Cell and atoms, written as POSCAR:
```
SmTmTe2
1.0
-2.6381 2.9676 -3.6171
-4.4237 -1.9372 -2.3510
-4.8086 2.0635 1.2121
Sm Tm Te
1 1 2
direct
0.0000 0.0000 0.0000
0.5000 0.5000 0.5000
0.2500 0.2500 0.2500
0.7500 0.7500 0.7500
```

Calculated values
Energy relative to the lowest polymorph listed for this composition: 164 meV per atom
N(E_F): 0.698 states/eV per atom
Space-group type: No. 225
Total magnetic moment: 1.2 μB/f.u.

Sb3IrSe: optimized geometry, GGA-PBE.

Cell and atoms, written as POSCAR:
```
Sb3IrSe
1.0
5.2166 0.0000 0.0000
0.0000 5.2166 0.0000
0.0000 0.0000 5.2166
Ir Sb Se
1 3 1
direct
0.5000 0.5000 0.5000
0.0000 0.0000 0.5000
0.0000 0.5000 0.0000
0.5000 0.0000 0.0000
0.0000 0.0000 0.0000
```

Calculated values
Energy relative to the lowest polymorph listed for this composition: 1413 meV per atom
N(E_F): 0.526 states/eV per atom
Space-group type: No. 221
Total magnetic moment: 0.0 μB/f.u.

Tl2InIr: optimized geometry, GGA-PBE.

Cell and atoms, written as POSCAR:
```
Tl2InIr
1.0
5.1434 -0.0044 -0.0100
4.1736 3.0059 -0.0100
2.4358 0.7847 6.7858
Tl In Ir
2 1 1
direct
0.9127 0.9127 0.0223
0.7336 0.7336 0.7273
0.5635 0.5635 0.3750
0.2902 0.2902 0.3753
```

Calculated values
Energy relative to the lowest polymorph listed for this composition: 53 meV per atom
Energy of formation: 0.143 eV/atom
N(E_F): 0.370 states/eV per atom
Space-group type: No. 8
Total magnetic moment: 0.0 μB/f.u.

TaV2Pt: optimized geometry, GGA-PBE.

Cell and atoms, written as POSCAR:
```
TaV2Pt
1.0
4.3928 0.0000 0.0000
2.1964 3.8043 0.0000
2.1964 1.2681 3.5867
V Ta Pt
2 1 1
direct
0.7500 0.7500 0.7500
0.2500 0.2500 0.2500
0.0000 0.0000 0.0000
0.5000 0.5000 0.5000
```

Calculated values
Energy relative to the lowest polymorph listed for this composition: 45 meV per atom
Energy of formation: -0.232 eV/atom
N(E_F): 1.231 states/eV per atom
Space-group type: No. 225
Total magnetic moment: 0.0 μB/f.u.

Ce2SmHfAs4: optimized geometry, GGA-PBE.

Cell and atoms, written as POSCAR:
```
Ce2SmHfAs4
1.0
-3.5429 -1.8690 -0.9042
-0.9442 -1.5430 6.8893
-2.9669 6.3151 -1.4288
Hf Ce As Sm
1 2 4 1
direct
0.0000 0.0000 0.0000
0.5000 0.0000 0.5000
0.0000 0.5000 0.5000
0.0000 0.2395 0.7587
0.5000 0.2320 0.2328
0.0000 0.7605 0.2413
0.5000 0.7680 0.7672
0.5000 0.5000 0.0000
```

Calculated values
Energy of formation: -1.336 eV/atom
N(E_F): 1.436 states/eV per atom
Space-group type: No. 10
Total magnetic moment: 1.4 μB/f.u.

SrTeSCl2: optimized geometry, GGA-PBE.

Cell and atoms, written as POSCAR:
```
SrTeSCl2
1.0
5.4266 0.0000 0.0000
0.0000 5.4266 0.0000
0.0000 0.0000 6.0744
Cl S Te Sr
2 1 1 1
direct
0.5000 0.0000 0.0000
0.0000 0.5000 0.0000
0.0000 0.0000 0.5000
0.5000 0.5000 0.5000
0.0000 0.0000 0.0000
```

Calculated values
Energy relative to the lowest polymorph listed for this composition: 153 meV per atom
N(E_F): 0.695 states/eV per atom
Space-group type: No. 123
Total magnetic moment: 1.6 μB/f.u.

ZrCuPb: optimized geometry, GGA-PBE.

Cell and atoms, written as POSCAR:
```
ZrCuPb
1.0
6.1784 0.0457 -0.0477
5.2732 3.2247 0.0182
0.9053 0.2008 3.1733
Zr Cu Pb
1 1 1
direct
0.6444 0.6444 0.3556
0.0078 0.0078 0.9922
0.3477 0.3477 0.6523
```

Calculated values
Energy of formation: 0.007 eV/atom
N(E_F): 0.705 states/eV per atom
Space-group type: No. 42
Total magnetic moment: 0.0 μB/f.u.

Mn2CdAu6: optimized geometry, GGA-PBE.

Cell and atoms, written as POSCAR:
```
Mn2CdAu6
1.0
-0.2492 -4.8943 0.7846
7.5258 -0.9759 -4.0302
-0.0626 1.4151 8.4750
Au Cd Mn
12 2 4
direct
0.0010 0.8329 0.9910
0.7557 0.0831 0.5832
0.2443 0.9169 0.4168
0.4990 0.6671 0.5088
0.5010 0.3329 0.4912
0.2557 0.5832 0.0831
0.4990 0.0090 0.1671
0.0010 0.4912 0.3329
0.5010 0.9910 0.8329
0.9990 0.1671 0.0090
0.7443 0.4168 0.9169
0.9990 0.5088 0.6671
0.7500 0.7501 0.2499
0.2500 0.2499 0.7501
0.5000 0.3346 0.1656
0.0000 0.1656 0.3346
0.5000 0.6654 0.8344
0.0000 0.8344 0.6654
```

Calculated values
Energy of formation: -0.070 eV/atom
N(E_F): 0.398 states/eV per atom
Space-group type: No. 12
Total magnetic moment: 7.8 μB/f.u.